(1)
Entry from Alexandria: TlPb2Se after structural relaxation (PBE).

Cell: 6.8527 6.8527 5.6185 Å, 60.68 60.68 32.73°
Closest atoms and distances in Å follow each position.
Fractional coordinates of all 4 atoms:
Pb  0.0167  0.0167  0.9857  2 Se 2.95
Pb  0.7874  0.7874  0.6449  2 Se 3.15, 1 Pb 3.38, 4 Tl 3.49-3.50
Se  0.4773  0.4773  0.6431  4 Pb 2.95-3.15, 1 Tl 3.31
Tl  0.2186  0.2186  0.2264  3 Se 3.31-3.42, 6 Pb 3.49-3.70

Summary:
The excess energy over the best structure of this formula in the dataset is 4.2 kJ/mol of formula units. For the formation energy (no corrections), the calculation gives -0.14 eV/atom. Its total moment is 0.00 Bohr magnetons per cell.

(2)
Entry from Alexandria: PdWSeBr2 after structural relaxation (PBE).

Cell: 5.1767 5.1767 4.8381 Å, 90.00 90.00 90.00°
Closest atoms and distances in Å follow each position.
Fractional coordinates of all 5 atoms:
Se  0.0000  0.0000  0.5000  2 W 2.42
Pd  0.5000  0.5000  0.5000  8 Br 3.54, 4 Se 3.66
Br  0.5000  0.0000  0.0000  2 W 2.59
Br  0.0000  0.5000  0.0000  2 W 2.59
W  0.0000  0.0000  0.0000  2 Se 2.42, 4 Br 2.59

Summary:
The excess energy over the best structure of this formula in the dataset is 0.0 kJ/mol of formula units. For the formation energy (no corrections), the calculation gives 0.60 eV/atom. Its total moment is 1.05 Bohr magnetons per cell.

(3)
Entry from Alexandria: Mg2InPt2 after structural relaxation (PBE).

Cell: 4.0315 4.0315 6.6986 Å, 72.49 72.49 90.00°
Closest atoms and distances in Å follow each position.
Fractional coordinates of all 5 atoms:
In  0.0000  0.0000  0.0000  8 Pt 3.14
Pt  0.3920  0.3920  0.2160  1 Pt 2.62, 4 Mg 2.65
Pt  0.6080  0.6080  0.7840  1 Pt 2.62, 4 Mg 2.65
Mg  0.7500  0.2500  0.5000  4 Pt 2.65, 4 Mg 2.85
Mg  0.2500  0.7500  0.5000  4 Pt 2.65, 4 Mg 2.85

Summary:
As for the formation energy: -231 kJ/mol of formula units. Its total moment is 0.00 Bohr magnetons per cell.

(4)
Entry from Alexandria: Er4Co2Hg5 after structural relaxation (PBE).

Cell: 3.5705 7.5311 9.2346 Å, 94.52 90.00 90.00°
Closest atoms and distances in Å follow each position.
Fractional coordinates of all 11 atoms:
Er  0.5000  0.7831  0.5673  4 Co 2.78-2.82
Er  0.5000  0.2169  0.4327  4 Co 2.78-2.82
Er  0.5000  0.8224  0.1676  2 Co 2.71
Er  0.5000  0.1776  0.8324  2 Co 2.71
Hg  0.0000  0.4447  0.6639  1 Co 2.87, 2 Hg 3.10-3.20, 4 Er 3.18-3.19
Hg  0.0000  0.8405  0.8605  1 Co 2.86, 1 Hg 2.96, 2 Er 3.13
Hg  0.0000  0.5000  0.0000  4 Hg 2.96-3.10, 4 Er 3.30
Hg  0.0000  0.5553  0.3361  1 Co 2.87, 2 Hg 3.10-3.20, 4 Er 3.18-3.19
Hg  0.0000  0.1595  0.1395  1 Co 2.86, 1 Hg 2.96, 2 Er 3.13
Co  0.0000  0.0631  0.6241  1 Co 2.41
Co  0.0000  0.9369  0.3759  1 Co 2.41

Summary:
As for the formation energy: -385 kJ/mol of formula units. Its total moment is 0.00 Bohr magnetons per cell.

(5)
Entry from Alexandria: MgTi2Co3 after structural relaxation (PBE).

Cell: 3.0000 3.0000 8.8950 Å, 90.00 90.00 90.00°
Closest atoms and distances in Å follow each position.
Fractional coordinates of all 6 atoms:
Ti  0.5000  0.5000  0.1682  8 Co 2.47-2.60
Ti  0.5000  0.5000  0.8318  8 Co 2.47-2.60
Mg  0.5000  0.5000  0.5000  8 Co 2.71, 2 Ti 2.95, 4 Mg 3.00
Co  0.0000  0.0000  0.0000  8 Ti 2.60, 2 Co 2.76
Co  0.0000  0.0000  0.6896  4 Ti 2.47, 4 Mg 2.71, 1 Co 2.76
Co  0.0000  0.0000  0.3104  4 Ti 2.47, 4 Mg 2.71, 1 Co 2.76

Summary:
As for the formation energy: -184 kJ/mol of formula units. Its total moment is 0.00 Bohr magnetons per cell.

(6)
Entry from Alexandria: Sr2BeNi after structural relaxation (PBE).

Cell: 7.9301 7.9301 7.9301 Å, 31.20 31.20 31.20°
Closest atoms and distances in Å follow each position.
Fractional coordinates of all 4 atoms:
Be  0.2500  0.2500  0.2500  6 Sr 3.20
Sr  0.4929  0.4929  0.4929  3 Ni 3.01, 3 Be 3.20
Sr  0.0071  0.0071  0.0071  3 Ni 3.01, 3 Be 3.20
Ni  0.7500  0.7500  0.7500  6 Sr 3.01

Summary:
As for the formation energy: 213 kJ/mol of formula units. Its total moment is 0.00 Bohr magnetons per cell.

(7)
Entry from Alexandria: Zr2Ni2Au after structural relaxation (PBE).

Cell: 3.3460 3.3460 8.2769 Å, 78.34 78.34 90.00°
Closest atoms and distances in Å follow each position.
Fractional coordinates of all 5 atoms:
Ni  0.7500  0.2500  0.5000  4 Ni 2.37
Ni  0.2500  0.7500  0.5000  4 Ni 2.37
Zr  0.3803  0.3803  0.2394  4 Ni 2.66
Zr  0.6197  0.6197  0.7606  4 Ni 2.66
Au  0.0000  0.0000  0.0000  8 Zr 3.03, 4 Au 3.35

Summary:
The excess energy over the best structure of this formula in the dataset is 140.4 kJ/mol of formula units. As for the formation energy: -123 kJ/mol of formula units. Its total moment is 0.00 Bohr magnetons per cell.

(8)
Entry from Alexandria: CaZnHg2 after structural relaxation (PBE).

Cell: 5.8745 7.7638 8.2331 Å, 90.00 90.00 90.00°
Closest atoms and distances in Å follow each position.
Fractional coordinates of all 16 atoms:
Hg  0.6191  0.4518  0.6871  3 Zn 2.78-2.86
Hg  0.8809  0.4518  0.1871  3 Zn 2.78-2.86
Hg  0.6191  0.0482  0.6871  3 Zn 2.78-2.86
Hg  0.1191  0.9518  0.8129  3 Zn 2.78-2.86
Hg  0.1191  0.5482  0.8129  3 Zn 2.78-2.86
Hg  0.3809  0.5482  0.3129  3 Zn 2.78-2.86
Hg  0.8809  0.0482  0.1871  3 Zn 2.78-2.86
Hg  0.3809  0.9518  0.3129  3 Zn 2.78-2.86
Ca  0.1225  0.2500  0.5388  3 Zn 3.11-3.26, 4 Hg 3.23-3.34
Ca  0.8775  0.7500  0.4612  3 Zn 3.11-3.26, 4 Hg 3.23-3.34
Ca  0.3775  0.2500  0.0388  3 Zn 3.11-3.26, 4 Hg 3.23-3.34
Ca  0.6225  0.7500  0.9612  3 Zn 3.11-3.26, 4 Hg 3.23-3.34
Zn  0.6141  0.2500  0.3971  6 Hg 2.78-2.86
Zn  0.8859  0.2500  0.8971  6 Hg 2.78-2.86
Zn  0.3859  0.7500  0.6029  6 Hg 2.78-2.86
Zn  0.1141  0.7500  0.1029  6 Hg 2.78-2.86

Summary:
As for the formation energy: -117 kJ/mol of formula units. Its total moment is 0.00 Bohr magnetons per cell.

(9)
Entry from Alexandria: Ac2NdUS8 after structural relaxation (PBE).

Cell: 4.7386 7.0020 9.3692 Å, 90.00 90.00 90.11°
Closest atoms and distances in Å follow each position.
Fractional coordinates of all 12 atoms:
S  0.4996  0.7577  0.5000  2 Nd 2.91-2.92, 2 Ac 2.95
S  0.9993  0.2296  0.7745  1 U 2.66
S  0.4997  0.2105  0.0000  2 U 2.79, 1 S 2.95, 2 Ac 3.10
S  0.5003  0.7895  0.0000  2 U 2.79, 1 S 2.95, 2 Ac 3.10
S  0.0007  0.7704  0.7745  1 U 2.66
S  0.9993  0.2296  0.2255  1 U 2.66
S  0.5004  0.2423  0.5000  2 Nd 2.91-2.92, 2 Ac 2.95
S  0.0007  0.7704  0.2255  1 U 2.66
Ac  0.5000  0.5000  0.2510  8 S 2.95-3.10
Ac  0.5000  0.5000  0.7490  8 S 2.95-3.10
Nd  0.0000  0.0000  0.5000  8 S 2.91-3.03
U  0.0000  0.0000  0.0000  8 S 2.66-2.79

Summary:
For the formation energy (no corrections), the calculation gives -1.60 eV/atom. Its total moment is 0.00 Bohr magnetons per cell.

(10)
Entry from Alexandria: PmNi4Ge after structural relaxation (PBE).

Cell: 4.9632 4.9632 4.9632 Å, 60.00 60.00 60.00°
Closest atoms and distances in Å follow each position.
Fractional coordinates of all 6 atoms:
Ni  0.6239  0.6239  0.1283  6 Ni 2.46-2.50
Ni  0.6239  0.1283  0.6239  6 Ni 2.46-2.50
Ni  0.6239  0.6239  0.6239  6 Ni 2.46-2.50
Ni  0.1284  0.6239  0.6239  6 Ni 2.46-2.50
Pm  0.0000  0.0000  0.0000  12 Ni 2.91, 4 Ge 3.04
Ge  0.2500  0.2500  0.2500  12 Ni 2.91, 4 Pm 3.04

Summary:
The excess energy over the best structure of this formula in the dataset is 22.7 kJ/mol of formula units. As for the formation energy: -157 kJ/mol of formula units. Its total moment is 0.00 Bohr magnetons per cell.